Compound: Pr2YZn
Source: the Alexandria database
Functional: PBE
Structure: relaxed

## Properties
crystal system = tetragonal
energy of formation = -52 kJ/mol of formula units

a b c (Å): 3.7031 3.7031 8.8090
angles (deg): 90.00 90.00 90.00
Space group P4/mmm (No. 123)
Inequivalent atoms, fractional coordinates:
Pr: 0.0000 0.0000 0.2100
Y: 0.5000 0.5000 0.5000
Zn: 0.5000 0.5000 0.0000

Compound: Pr5Y4Zn
Source: the Alexandria database
Functional: PBE
Structure: relaxed

## Properties
crystal system = tetragonal
energy of formation = -43 kJ/mol of formula units

a b c (Å): 3.6872 3.6872 24.0171
angles (deg): 90.00 90.00 90.00
Space group P4/mmm (No. 123)
Inequivalent atoms, fractional coordinates:
Pr: 0.0000 0.0000 0.0000
Pr: 0.0000 0.0000 0.2104
Pr: 0.0000 0.0000 0.4233
Y: 0.5000 0.5000 0.1050
Y: 0.5000 0.5000 0.3147
Zn: 0.5000 0.5000 0.5000

Compound: PrY2Zn
Source: the Alexandria database
Functional: PBE
Structure: relaxed

## Properties
crystal system = trigonal
energy of formation = -32 kJ/mol of formula units

a b c (Å): 3.6343 3.6343 31.1616
angles (deg): 90.00 90.00 120.00
Space group R-3m (No. 166, hexagonal axes)
Inequivalent atoms, fractional coordinates:
Pr: 0.0000 0.0000 0.0000
Y: 0.0000 0.0000 0.2371
Zn: 0.0000 0.0000 0.5000

Compound: PrY2Zn
Source: the Alexandria database
Functional: PBE
Structure: relaxed

## Properties
crystal system = trigonal
energy of formation = -25 kJ/mol of formula units

a b c (Å): 3.6617 3.6617 31.0052
angles (deg): 90.00 90.00 120.00
Space group R3m (No. 160, hexagonal axes)
Inequivalent atoms, fractional coordinates:
Pr: 0.0000 0.0000 0.0000
Y: 0.0000 0.0000 0.5686
Y: 0.0000 0.0000 0.7633
Zn: 0.0000 0.0000 0.1656

Compound: Pr3YZn2
Source: the Alexandria database
Functional: PBE
Structure: relaxed

## Properties
crystal system = orthorhombic
energy of formation = -117 kJ/mol of formula units

a b c (Å): 5.2433 9.4735 6.8303
angles (deg): 90.00 90.00 90.00
Space group Pmc2_1 (No. 26)
Inequivalent atoms, fractional coordinates:
Pr: 0.0000 0.0574 0.0000
Pr: 0.0000 0.3335 0.3311
Pr: 0.5000 0.1747 0.6744
Y: 0.5000 0.4442 0.0181
Zn: 0.0000 0.3496 0.7906
Zn: 0.5000 0.1568 0.2216

Compound: Pr6YZn
Source: the Alexandria database
Functional: PBE
Structure: relaxed

## Properties
crystal system = trigonal
energy of formation = 16 kJ/mol of formula units

a b c (Å): 9.6620 9.6620 9.9387
angles (deg): 90.00 90.00 120.00
Space group R-3 (No. 148, hexagonal axes)
Inequivalent atoms, fractional coordinates:
Pr: 0.0309 0.2525 0.2040
Y: 0.0000 0.0000 0.5000
Zn: 0.0000 0.0000 0.0000

Compound: Pr4YZn5
Source: the Alexandria database
Functional: PBE
Structure: relaxed

## Properties
crystal system = tetragonal
energy of formation = -296 kJ/mol of formula units

a b c (Å): 3.6813 3.6813 18.4949
angles (deg): 90.00 90.00 90.00
Space group P4/mmm (No. 123)
Inequivalent atoms, fractional coordinates:
Pr: 0.0000 0.0000 0.1017
Pr: 0.0000 0.0000 0.3044
Y: 0.0000 0.0000 0.5000
Zn: 0.5000 0.5000 0.0000
Zn: 0.5000 0.5000 0.2021
Zn: 0.5000 0.5000 0.4093

Compound: Pr2YZn
Source: the Alexandria database
Functional: PBE
Structure: relaxed

## Properties
crystal system = trigonal
energy of formation = -7 kJ/mol of formula units

a b c (Å): 3.7030 3.7030 31.7323
angles (deg): 90.00 90.00 120.00
Space group R3m (No. 160, hexagonal axes)
Inequivalent atoms, fractional coordinates:
Pr: 0.0000 0.0000 0.0000
Pr: 0.0000 0.0000 0.1872
Y: 0.0000 0.0000 0.4267
Zn: 0.0000 0.0000 0.5934

Q: What is the energy of formation in the second record?
A: -43 kJ/mol of formula units

Please write out number 2 again, unchanged.
Compound: Pr5Y4Zn
Source: the Alexandria database
Functional: PBE
Structure: relaxed

## Properties
crystal system = tetragonal
energy of formation = -43 kJ/mol of formula units

a b c (Å): 3.6872 3.6872 24.0171
angles (deg): 90.00 90.00 90.00
Space group P4/mmm (No. 123)
Inequivalent atoms, fractional coordinates:
Pr: 0.0000 0.0000 0.0000
Pr: 0.0000 0.0000 0.2104
Pr: 0.0000 0.0000 0.4233
Y: 0.5000 0.5000 0.1050
Y: 0.5000 0.5000 0.3147
Zn: 0.5000 0.5000 0.5000